The following is a DFT calculation (PBE) of an optimized crystal structure of Tb2Nd5Cl3O10.

abc: 6.9630 6.9630 10.0570
angles: 91.59 91.59 48.48
Element x y z (fractional)
Tb 0.0937 0.0937 0.3480
Tb 0.9063 0.9063 0.6520
Nd 0.0000 0.0000 0.0000
Nd 0.2971 0.2971 0.8915
Nd 0.4155 0.4155 0.2266
Nd 0.5845 0.5845 0.7734
Nd 0.7029 0.7029 0.1085
Cl 0.1350 0.1350 0.6269
Cl 0.5000 0.5000 0.5000
Cl 0.8650 0.8650 0.3731
O 0.1022 0.6024 0.0624
O 0.1895 0.6876 0.8046
O 0.2515 0.2515 0.3055
O 0.3124 0.8105 0.1954
O 0.3976 0.8978 0.9376
O 0.6024 0.1022 0.0624
O 0.6876 0.1895 0.8046
O 0.7485 0.7485 0.6945
O 0.8105 0.3124 0.1954
O 0.8978 0.3976 0.9376

Results
Its density is 5.94 Mg/m³. Its size of the total moment is 2.0 μB/cell. The calculation puts the energy at -146.32 eV for the cell shown.